[1]
Below is crystalline H2PdRh at its relaxed geometry, with properties calculated at the PBE level.

Computed properties:
**Offset from the most stable computed form**: 0.052 eV per atom
**Symmetry**: R3m
**Total energy**: -19.13 eV for the cell shown

Lattice parameters (Å, degrees): 2.8338 2.8338 5.4127 74.82 74.82 60.00
Fractional positions:
H 0.0637 0.0637 0.8089
H 0.2756 0.2756 0.1733
Pd 0.4925 0.4925 0.5224
Rh 0.6682 0.6682 0.9954

---

[2]
Below is crystalline H4PdRh at its relaxed geometry, with properties calculated at the PBE level.

Computed properties:
**Offset from the most stable computed form**: 0.000 eV per atom
**Symmetry**: I4_1md
**Total energy**: -51.56 eV for the cell shown

Lattice parameters (Å, degrees): 4.9565 4.9565 4.9565 109.74 109.74 108.94
Fractional positions:
H 0.2436 0.9364 0.6928
H 0.7567 0.4420 0.6853
H 0.6864 0.4936 0.1928
H 0.1920 0.0067 0.1853
H 0.3008 0.4936 0.8072
H 0.8213 0.0067 0.8147
H 0.7567 0.0713 0.3147
H 0.2436 0.5508 0.3072
Pd 0.7527 0.7527 0.0000
Pd 0.5027 0.0027 0.5000
Rh 0.2467 0.2467 0.0000
Rh 0.9967 0.4967 0.5000

---

[3]
Below is crystalline H8Pd5Rh at its relaxed geometry, with properties calculated at the PBE level.

Computed properties:
**Symmetry**: I-4
**Total energy**: -59.97 eV for the cell shown

Lattice parameters (Å, degrees): 5.5418 5.5417 5.5417 119.13 119.13 91.52
Fractional positions:
H 0.1135 0.8549 0.2196
H 0.1451 0.3647 0.2586
H 0.6569 0.9077 0.3002
H 0.0923 0.3925 0.7491
H 0.6434 0.3431 0.2509
H 0.1061 0.8865 0.7414
H 0.6353 0.8939 0.7804
H 0.6075 0.3566 0.6998
Pd 0.8745 0.1647 0.7893
Pd 0.8354 0.6246 0.7099
Pd 0.3754 0.0853 0.2107
Pd 0.5000 0.5000 0.0000
Pd 0.9147 0.1255 0.2901
Rh 0.2500 0.7500 0.5000

---

[4]
Below is crystalline H6Pd3Rh at its relaxed geometry, with properties calculated at the PBE level.

Computed properties:
**Offset from the most stable computed form**: 0.010 eV per atom
**Symmetry**: P-1
**Total energy**: -86.18 eV for the cell shown

Lattice parameters (Å, degrees): 4.9677 4.8500 7.5649 82.14 104.86 104.77
Fractional positions:
H 0.7742 0.6853 0.0825
H 0.7139 0.9505 0.8017
H 0.2478 0.8240 0.9426
H 0.3217 0.5227 0.2643
H 0.7094 0.3253 0.4103
H 0.2421 0.1975 0.5772
H 0.2258 0.3147 0.9175
H 0.2861 0.0495 0.1983
H 0.7522 0.1760 0.0574
H 0.6783 0.4773 0.7357
H 0.2906 0.6747 0.5897
H 0.7579 0.8025 0.4228
Pd 0.4617 0.1542 0.8238
Pd 0.1740 0.9321 0.4081
Pd 0.9307 0.4243 0.2396
Pd 0.8260 0.0679 0.5919
Pd 0.0693 0.5757 0.7604
Pd 0.5383 0.8458 0.1762
Rh 0.5000 0.5000 0.5000
Rh 0.0000 0.0000 0.0000

---

[5]
Below is crystalline H8Pd2Rh3 at its relaxed geometry, with properties calculated at the PBE level.

Computed properties:
**Symmetry**: C2/m
**Total energy**: -58.92 eV for the cell shown

Lattice parameters (Å, degrees): 4.7458 5.5034 5.0740 122.84 103.83 90.00
Fractional positions:
H 0.9570 0.6261 0.2523
H 0.0430 0.3739 0.7477
H 0.8892 0.1106 0.2213
H 0.1108 0.8894 0.7787
H 0.6215 0.6524 0.7371
H 0.6215 0.0847 0.7371
H 0.3785 0.9153 0.2629
H 0.3785 0.3476 0.2629
Pd 0.3995 0.3229 0.6459
Pd 0.6005 0.6771 0.3541
Rh 0.5000 0.0000 0.0000
Rh 0.0000 0.2523 0.0000
Rh 0.0000 0.7477 0.0000

---

[6]
Below is crystalline H4Pd4Rh at its relaxed geometry, with properties calculated at the PBE level.

Computed properties:
**Symmetry**: P-1
**Total energy**: -41.92 eV for the cell shown

Lattice parameters (Å, degrees): 2.8863 6.4178 7.6114 54.07 68.51 48.42
Fractional positions:
H 0.6810 0.1493 0.1018
H 0.3190 0.8507 0.8982
H 0.1673 0.3902 0.7228
H 0.8327 0.6098 0.2772
Pd 0.6986 0.3962 0.2054
Pd 0.8967 0.8015 0.3997
Pd 0.3014 0.6038 0.7946
Pd 0.1033 0.1985 0.6003
Rh 0.5000 0.0000 0.0000

---

[7]
Below is crystalline H4PdRh2 at its relaxed geometry, with properties calculated at the PBE level.

Computed properties:
**Offset from the most stable computed form**: 0.000 eV per atom
**Symmetry**: C2/c
**Total energy**: -66.24 eV for the cell shown

Lattice parameters (Å, degrees): 5.5702 5.5702 5.5257 120.48 120.50 89.75
Fractional positions:
H 0.8530 0.1301 0.2628
H 0.3969 0.6199 0.2372
H 0.8677 0.5908 0.7374
H 0.8700 0.1470 0.7373
H 0.4091 0.1323 0.2624
H 0.3824 0.1592 0.7626
H 0.3801 0.6030 0.7627
H 0.8409 0.6177 0.2375
Pd 0.2508 0.7494 0.5000
Pd 0.9992 0.0006 0.0000
Rh 0.6250 0.3750 0.7500
Rh 0.6250 0.8750 0.2500
Rh 0.6250 0.3750 0.2500
Rh 0.1250 0.3750 0.7500

---

[8]
Below is crystalline H5Pd2Rh2 at its relaxed geometry, with properties calculated at the PBE level.

Computed properties:
**Symmetry**: C2/m
**Total energy**: -41.89 eV for the cell shown

Lattice parameters (Å, degrees): 2.9080 5.8245 5.2868 118.83 90.00 104.46
Fractional positions:
H 0.3172 0.6344 0.9697
H 0.6828 0.3656 0.0303
H 0.1879 0.3758 0.5180
H 0.8121 0.6242 0.4820
H 0.0000 0.0000 0.0000
Pd 0.1199 0.2397 0.7760
Pd 0.8801 0.7603 0.2240
Rh 0.3796 0.7592 0.7254
Rh 0.6204 0.2408 0.2746

---

[9]
Below is crystalline HPd2Rh2 at its relaxed geometry, with properties calculated at the PBE level.

Computed properties:
**Symmetry**: P4/mbm
**Total energy**: -54.85 eV for the cell shown

Lattice parameters (Å, degrees): 5.2080 5.2080 4.8044 90.00 90.00 90.00
Fractional positions:
H 0.0000 0.0000 0.0000
H 0.5000 0.5000 0.0000
Rh 0.3236 0.8236 0.0000
Rh 0.8236 0.6764 0.0000
Rh 0.6764 0.1764 0.0000
Rh 0.1764 0.3236 0.0000
Pd 0.1806 0.6806 0.5000
Pd 0.6806 0.8194 0.5000
Pd 0.8194 0.3194 0.5000
Pd 0.3194 0.1806 0.5000

---

[10]
Below is crystalline H7Pd5Rh at its relaxed geometry, with properties calculated at the PBE level.

Computed properties:
**Symmetry**: P-1
**Total energy**: -115.19 eV for the cell shown

Lattice parameters (Å, degrees): 2.9280 4.4951 21.1816 90.26 123.53 90.09
Fractional positions:
H 0.9844 0.7553 0.2485
H 0.0162 0.2458 0.7515
H 0.2989 0.2653 0.0768
H 0.7016 0.7359 0.9232
H 0.3350 0.7521 0.5823
H 0.6658 0.2490 0.4177
H 0.1893 0.3019 0.1748
H 0.8112 0.6991 0.8252
H 0.9484 0.7077 0.7343
H 0.0522 0.2934 0.2657
H 0.3393 0.7694 0.0865
H 0.6612 0.2318 0.9136
H 0.3361 0.2518 0.5830
H 0.6647 0.7493 0.4170
Pd 0.0002 0.0006 0.0000
Pd 0.1796 0.4864 0.9181
Pd 0.8208 0.5147 0.0819
Pd 0.3388 0.0008 0.3364
Pd 0.6618 0.0003 0.6636
Pd 0.0004 0.0006 0.5000
Pd 0.1680 0.5005 0.4180
Pd 0.8328 0.5006 0.5820
Pd 0.3401 0.9784 0.8323
Pd 0.6604 0.0227 0.1677
Rh 0.5121 0.5178 0.2554
Rh 0.4884 0.4833 0.7446